Entry 1:
A geometry-optimized HfNb2InRe structure, computed with PBE.

Cell and atoms, written as POSCAR:
```
HfNb2InRe
1.0
4.9503 0.0000 0.0000
0.0000 4.9503 0.0000
0.0000 0.0000 4.8460
Hf Nb In Re
1 2 1 1
direct
0.0000 0.0000 0.0000
0.0000 0.5000 0.5000
0.5000 0.0000 0.5000
0.5000 0.5000 0.5000
0.5000 0.5000 0.0000
```

Output
N(E_F) (states/eV/cell): 6.49
Energy relative to the elements (kJ/mol of atoms): 182.9
Symmetry: P4/mmm
Theoretical density (g/cm³): 9.3

Entry 2:
A geometry-optimized Mg6HgAu structure, computed with PBE.

Cell and atoms, written as POSCAR:
```
Mg6HgAu
1.0
2.4292 1.4025 7.9087
-2.4292 1.4025 7.9087
0.0000 -2.8050 7.9087
Mg Hg Au
6 1 1
direct
0.1215 0.1215 0.1215
0.2498 0.2498 0.2498
0.3725 0.3725 0.3725
0.6275 0.6275 0.6275
0.7502 0.7502 0.7502
0.8785 0.8785 0.8785
0.5000 0.5000 0.5000
0.0000 0.0000 0.0000
```

Output
N(E_F) (states/eV/cell): 1.67
Energy relative to the elements (kJ/mol of atoms): -20.2
Symmetry: R-3m
Theoretical density (g/cm³): 5.6

Entry 3:
A geometry-optimized KZn2GaRu structure, computed with PBE.

Cell and atoms, written as POSCAR:
```
KZn2GaRu
1.0
4.9465 0.0000 0.0000
0.0000 4.9465 0.0000
0.0000 0.0000 4.8026
K Zn Ga Ru
1 2 1 1
direct
0.0000 0.0000 0.0000
0.0000 0.5000 0.5000
0.5000 0.0000 0.5000
0.5000 0.5000 0.0000
0.5000 0.5000 0.5000
```

Output
N(E_F) (states/eV/cell): 1.29
Energy relative to the elements (kJ/mol of atoms): -4.5
Symmetry: P4/mmm
Theoretical density (g/cm³): 4.8

Entry 4:
A geometry-optimized B3RuRh structure, computed with PBE.

Cell and atoms, written as POSCAR:
```
B3RuRh
1.0
3.9677 0.0000 0.0000
0.0000 3.9677 0.0000
0.0000 0.0000 3.9677
B Ru Rh
3 1 1
direct
0.0000 0.0000 0.5000
0.0000 0.5000 0.0000
0.5000 0.0000 0.0000
0.0000 0.0000 0.0000
0.5000 0.5000 0.5000
```

Output
Offset from the most stable computed form (meV per atom): 0
N(E_F) (states/eV/cell): 3.28
Energy relative to the elements (kJ/mol of atoms): 107.8
Symmetry: Pm-3m
Theoretical density (g/cm³): 6.3

Repeat the third record exactly.
A geometry-optimized KZn2GaRu structure, computed with PBE.

Cell and atoms, written as POSCAR:
```
KZn2GaRu
1.0
4.9465 0.0000 0.0000
0.0000 4.9465 0.0000
0.0000 0.0000 4.8026
K Zn Ga Ru
1 2 1 1
direct
0.0000 0.0000 0.0000
0.0000 0.5000 0.5000
0.5000 0.0000 0.5000
0.5000 0.5000 0.0000
0.5000 0.5000 0.5000
```

Output
N(E_F) (states/eV/cell): 1.29
Energy relative to the elements (kJ/mol of atoms): -4.5
Symmetry: P4/mmm
Theoretical density (g/cm³): 4.8

The lowest N(E_F) belongs to which entry?
KZn2GaRu